This record from the Alexandria database describes an optimized crystal structure of FePC3. The functional is PBE.

Properties
- VASP energy (eV/atom) = -7.83
- space group = No. 25
- relative energy among the computed polymorphs (eV/atom) = 0.152
- M_tot (μB/f.u.) = 0.00

Lattice parameters (Å, degrees): 2.878 3.843 4.318 90.00 90.00 90.00
Positions (direct):
P 0.500 0.000 0.217
C 0.000 0.682 0.697
C 0.000 0.318 0.697
C 0.000 0.000 0.505
Fe 0.500 0.500 0.952